Entry 1:
Density functional theory data (PBE) for a relaxed CaMgGa2Au2 crystal.

Values from the calculation:
Formation enthalpy at 0 K   -0.595 eV per atom
Calculated density   8.07 g/cm³
Symmetry   P-3m1
VASP energy   -3.2962 eV/atom

Geometry as POSCAR:
```
CaMgGa2Au2
1.0
4.498 0.000 0.000
-2.249 3.895 0.000
0.000 0.000 7.019
Ca Mg Ga Au
1 1 2 2
Direct
0.000 0.000 0.000 Ca
0.000 0.000 0.500 Mg
0.333 0.667 0.283 Ga
0.667 0.333 0.717 Ga
0.333 0.667 0.706 Au
0.667 0.333 0.294 Au
```

=====

Entry 2:
Density functional theory data (PBE) for a relaxed La2Ce3ErSe6 crystal.

Values from the calculation:
Calculated density   6.99 g/cm³
Symmetry   C2/m
Formation energy without anion corrections   -1.851 eV/atom
VASP energy   -6.2787 eV/atom

Geometry as POSCAR:
```
La2Ce3ErSe6
1.0
9.189 -2.100 0.000
9.189 2.100 0.000
-1.955 0.000 8.249
La Ce Er Se
2 3 1 6
Direct
0.165 0.165 0.334 La
0.835 0.835 0.666 La
0.170 0.170 0.836 Ce
0.500 0.500 0.500 Ce
0.830 0.830 0.164 Ce
0.500 0.500 0.000 Er
0.004 0.004 0.763 Se
0.334 0.334 0.412 Se
0.339 0.339 0.923 Se
0.661 0.661 0.077 Se
0.666 0.666 0.588 Se
0.996 0.996 0.237 Se
```

=====

Question: calculated density of number 2 (La2Ce3ErSe6)?
Answer: 6.99 g/cm³